(1)
Density functional theory data (PBE-GGA) for an optimized crystal structure of Co2ReAu.

- Energy relative to the lowest polymorph listed for this composition: 0.160 eV/atom
- DFT formation energy: 0.3117 eV/atom

Geometry as extended XYZ:
```
4
Lattice="2.6783 0.0000 0.0000 0.0000 3.7686 0.0000 0.0000 0.0000 5.4157" Properties=species:S:1:pos:R:3 pbc="T T T"
Co 0.0000 0.0000 0.0000
Co 1.3392 1.8843 1.2721
Re 0.0000 0.0000 2.3546
Au 1.3392 1.8843 4.0120
```

(2)
Density functional theory data (PBE-GGA) for an optimized crystal structure of Be3NbSb.

- Energy relative to the lowest polymorph listed for this composition: 0.000 eV/atom
- Raw formation energy: 1.3212 eV/atom

Geometry as extended XYZ:
```
5
Lattice="4.5131 0.0000 0.0000 0.0000 4.5131 0.0000 0.0000 0.0000 4.5131" Properties=species:S:1:pos:R:3 pbc="T T T"
Be 0.0000 0.0000 2.2566
Be 0.0000 2.2566 0.0000
Be 2.2566 0.0000 0.0000
Nb 0.0000 0.0000 0.0000
Sb 2.2566 2.2566 2.2566
```

What is the energy relative to the lowest polymorph listed for this composition in the second record? 0.000 eV/atom

What is the formula in the first record? Co2ReAu

The highest energy relative to the lowest polymorph listed for this composition belongs to which entry? Co2ReAu